PBE Er3SnSb, relaxed; space group = R-3, No. 148; crystal system = trigonal; raw formation energy = -262.8 kJ/mol of formula units
1.0
3.470 2.003 7.525
-3.470 2.003 7.525
0.000 -4.006 7.525
Er Sn Sb
6 2 2
direct
0.084 0.118 0.599 Er
0.118 0.599 0.084 Er
0.401 0.916 0.882 Er
0.599 0.084 0.118 Er
0.882 0.401 0.916 Er
0.916 0.882 0.401 Er
0.380 0.380 0.380 Sn
0.620 0.620 0.620 Sn
0.167 0.167 0.167 Sb
0.833 0.833 0.833 Sb

PBE HfScSN2, relaxed; space group = P4/mmm, No. 123; crystal system = tetragonal; relative energy among the computed polymorphs = 273 kJ/mol of formula units; raw formation energy = 12.8 kJ/mol of formula units
1.0
3.991 0.000 0.000
0.000 3.991 0.000
0.000 0.000 4.827
Hf Sc S N
1 1 1 2
direct
0.000 0.000 0.000 Hf
0.500 0.500 0.500 Sc
0.500 0.500 0.000 S
0.000 0.500 0.500 N
0.500 0.000 0.500 N

PBE ScBi3Au, relaxed; space group = Pm-3m, No. 221; crystal system = cubic; relative energy among the computed polymorphs = 0 kJ/mol of formula units; formation energy = 378 meV/atom
1.0
5.535 0.000 0.000
0.000 5.535 0.000
0.000 0.000 5.535
Sc Bi Au
1 3 1
direct
0.000 0.000 0.000 Sc
0.000 0.000 0.500 Bi
0.000 0.500 0.000 Bi
0.500 0.000 0.000 Bi
0.500 0.500 0.500 Au

PBE GaAsIr3, relaxed; space group = Pm-3m, No. 221; crystal system = cubic; relative energy among the computed polymorphs = 126 kJ/mol of formula units; formation energy = 1306 meV/atom
1.0
4.563 0.000 0.000
0.000 4.563 0.000
0.000 0.000 4.563
Ga As Ir
1 1 3
direct
0.000 0.000 0.000 Ga
0.500 0.500 0.500 As
0.000 0.000 0.500 Ir
0.000 0.500 0.000 Ir
0.500 0.000 0.000 Ir

PBE TcBr2O2, relaxed; space group = P4/mbm, No. 127; crystal system = tetragonal; relative energy among the computed polymorphs = 229 kJ/mol of formula units; raw formation energy = -164.7 kJ/mol of formula units
1.0
5.418 0.000 0.000
0.000 5.418 0.000
0.000 0.000 7.827
Tc Br O
2 4 4
direct
0.000 0.000 0.000 Tc
0.500 0.500 0.000 Tc
0.170 0.330 0.500 Br
0.330 0.830 0.500 Br
0.670 0.170 0.500 Br
0.830 0.670 0.500 Br
0.249 0.749 0.000 O
0.251 0.249 0.000 O
0.749 0.751 0.000 O
0.751 0.251 0.000 O

PBE CuReNi, relaxed; space group = Cm, No. 8; crystal system = monoclinic; relative energy among the computed polymorphs = 0 kJ/mol of formula units; formation energy = 43 meV/atom
1.0
3.758 0.000 0.000
0.000 3.744 0.000
-0.003 0.000 10.827
Cu Re Ni
4 4 4
direct
0.000 0.000 0.000 Cu
0.001 0.500 0.842 Cu
0.500 0.500 0.000 Cu
0.501 0.000 0.842 Cu
0.458 0.500 0.322 Re
0.460 0.000 0.520 Re
0.958 0.000 0.322 Re
0.960 0.500 0.520 Re
0.483 0.000 0.158 Ni
0.488 0.500 0.684 Ni
0.983 0.500 0.158 Ni
0.988 0.000 0.684 Ni

PBE KNaTl2In, relaxed; space group = P4/mmm, No. 123; crystal system = tetragonal; relative energy among the computed polymorphs = 310 kJ/mol of formula units; formation energy = 577 meV/atom
1.0
6.218 0.000 0.000
0.000 6.218 0.000
0.000 0.000 5.531
K Na Tl In
1 1 2 1
direct
0.000 0.000 0.000 K
0.000 0.000 0.500 Na
0.000 0.500 0.000 Tl
0.500 0.000 0.000 Tl
0.500 0.500 0.500 In

PBE V2Cr2Cu, relaxed; space group = P4/mbm, No. 127; crystal system = tetragonal; formation energy = 319 meV/atom
1.0
6.657 0.000 0.000
0.000 6.657 0.000
0.000 0.000 2.937
V Cr Cu
4 4 2
direct
0.198 0.302 0.000 V
0.302 0.802 0.000 V
0.698 0.198 0.000 V
0.802 0.698 0.000 V
0.112 0.612 0.500 Cr
0.388 0.112 0.500 Cr
0.612 0.888 0.500 Cr
0.888 0.388 0.500 Cr
0.000 0.000 0.500 Cu
0.500 0.500 0.500 Cu

Copy entry 1 word for word.
PBE Er3SnSb, relaxed; space group = R-3, No. 148; crystal system = trigonal; raw formation energy = -262.8 kJ/mol of formula units
1.0
3.470 2.003 7.525
-3.470 2.003 7.525
0.000 -4.006 7.525
Er Sn Sb
6 2 2
direct
0.084 0.118 0.599 Er
0.118 0.599 0.084 Er
0.401 0.916 0.882 Er
0.599 0.084 0.118 Er
0.882 0.401 0.916 Er
0.916 0.882 0.401 Er
0.380 0.380 0.380 Sn
0.620 0.620 0.620 Sn
0.167 0.167 0.167 Sb
0.833 0.833 0.833 Sb

Repeat the first record exactly.
PBE Er3SnSb, relaxed; space group = R-3, No. 148; crystal system = trigonal; raw formation energy = -262.8 kJ/mol of formula units
1.0
3.470 2.003 7.525
-3.470 2.003 7.525
0.000 -4.006 7.525
Er Sn Sb
6 2 2
direct
0.084 0.118 0.599 Er
0.118 0.599 0.084 Er
0.401 0.916 0.882 Er
0.599 0.084 0.118 Er
0.882 0.401 0.916 Er
0.916 0.882 0.401 Er
0.380 0.380 0.380 Sn
0.620 0.620 0.620 Sn
0.167 0.167 0.167 Sb
0.833 0.833 0.833 Sb